1.
Density functional theory data (PBEsol) for crystalline LaSe2N at its relaxed geometry.

Values from the calculation:
As for the total energy: -5.37 eV per atom. As for the formation energy without anion corrections: 0.021 eV/atom. The total magnetization is 0.0 μB per formula unit. The calculation puts the calculated density at 5.44 Mg/m³.

abc: 5.461 5.461 7.446
angles: 111.51 111.51 90.00
Fractional positions:
N 0.750 0.250 0.500
Se 0.125 0.254 0.750
Se 0.625 0.496 0.750
Se 0.504 0.875 0.250
Se 0.746 0.375 0.250
N 0.500 0.500 0.000
La 0.250 0.750 0.500
La 0.000 0.000 0.000


2.
Density functional theory data (PBEsol) for crystalline MgCN2O at its relaxed geometry.

Values from the calculation:
As for the total energy: -4.21 eV per atom. As for the formation energy without anion corrections: 2.521 eV/atom. The total magnetization is 4.0 μB per formula unit. The calculation puts the calculated density at 2.12 Mg/m³.

abc: 3.751 4.096 4.096
angles: 90.00 90.00 90.00
Each line ends with the local moment (μB).
Fractional positions:
N 0.000 0.000 0.500  1.40
N 0.000 0.500 0.000  1.40
C 0.500 0.500 0.500  -0.53
O 0.500 0.000 0.000  0.84
Mg 0.000 0.000 0.000  0.04


3.
Density functional theory data (PBEsol) for crystalline ErSe at its relaxed geometry.

Values from the calculation:
As for the total energy: -6.16 eV per atom. As for the formation energy without anion corrections: -1.774 eV/atom. The total magnetization is 0.0 μB per formula unit. The calculation puts the calculated density at 9.22 Mg/m³.

abc: 3.973 3.973 3.973
angles: 60.00 60.00 60.00
Fractional positions:
Se 0.500 0.500 0.500
Er 0.000 0.000 0.000


Among the records above, which one has the lowest formation energy without anion corrections?
ErSe


Look up the formation energy without anion corrections of the third one.
-1.774 eV/atom